No. 1
## Ti3IF (SCAN)

Data for a crystal of Ti3IF relaxed with PBEsol.

a b c (Å): 5.0053 5.0053 5.0053
angles (deg): 90.00 90.00 90.00
Space group Pm-3m (No. 221)
One atom of each set of equivalent atoms:
Ti  0.0000  0.0000  0.5000 [3 per cell]
I  0.0000  0.0000  0.0000 [1 per cell]
F  0.5000  0.5000  0.5000 [1 per cell]

Summary:
The value obtained for the total magnetization is 7.7 μB/cell. The uncorrected formation energy comes out at 20.835 kcal/mol of atoms.


No. 2
## TlIF2 (SCAN)

Data for a crystal of TlIF2 relaxed with PBEsol.

a b c (Å): 4.5507 4.5507 18.1280
angles (deg): 90.00 90.00 120.00
Space group R-3m (No. 166, hexagonal axes)
One atom of each set of equivalent atoms:
Tl  0.0000  0.0000  0.0000 [3 per cell]
I  0.0000  0.0000  0.5000 [3 per cell]
F  0.0000  0.0000  0.3833 [6 per cell]

Summary:
The value obtained for the total magnetization is 0.0 μB/cell. The uncorrected formation energy comes out at -31.284 kcal/mol of atoms.


No. 3
## WIF2 (SCAN)

Data for a crystal of WIF2 relaxed with PBEsol.

a b c (Å): 6.2496 6.2496 6.2496
angles (deg): 90.00 90.00 90.00
Space group Fm-3m (No. 225)
One atom of each set of equivalent atoms:
W  0.0000  0.0000  0.0000 [4 per cell]
I  0.0000  0.0000  0.5000 [4 per cell]
F  0.2500  0.2500  0.2500 [8 per cell]

Summary:
The value obtained for the total magnetization is 12.0 μB/cell. The uncorrected formation energy comes out at 6.533 kcal/mol of atoms.


No. 4
## ZnI3F (SCAN)

Data for a crystal of ZnI3F relaxed with PBEsol.

a b c (Å): 5.1858 5.1858 5.1858
angles (deg): 90.00 90.00 90.00
Space group Pm-3m (No. 221)
One atom of each set of equivalent atoms:
Zn  0.0000  0.0000  0.0000 [1 per cell]
I  0.0000  0.5000  0.5000 [3 per cell]
F  0.5000  0.5000  0.5000 [1 per cell]

Summary:
The value obtained for the total magnetization is 0.0 μB/cell. The uncorrected formation energy comes out at 7.954 kcal/mol of atoms.


No. 5
## ZrIF2 (SCAN)

Data for a crystal of ZrIF2 relaxed with PBEsol.

a b c (Å): 3.0835 3.0835 30.8291
angles (deg): 90.00 90.00 120.00
Space group R-3m (No. 166, hexagonal axes)
One atom of each set of equivalent atoms:
Zr  0.0000  0.0000  0.0000 [3 per cell]
I  0.0000  0.0000  0.5000 [3 per cell]
F  0.0000  0.0000  0.3796 [6 per cell]

Summary:
The value obtained for the total magnetization is 0.0 μB/cell. As for the distance to the lowest polymorph of the same formula: 0 meV/atom. The uncorrected formation energy comes out at -46.568 kcal/mol of atoms.


No. 6
## ZrIF2 (SCAN)

Data for a crystal of ZrIF2 relaxed with PBEsol.

a b c (Å): 6.2999 6.2999 6.2999
angles (deg): 90.00 90.00 90.00
Space group Fm-3m (No. 225)
One atom of each set of equivalent atoms:
Zr  0.0000  0.0000  0.0000 [4 per cell]
I  0.0000  0.0000  0.5000 [4 per cell]
F  0.2500  0.2500  0.2500 [8 per cell]

Summary:
The value obtained for the total magnetization is 0.0 μB/cell. As for the distance to the lowest polymorph of the same formula: 486 meV/atom. The uncorrected formation energy comes out at -35.363 kcal/mol of atoms.


No. 7
## ZrI2F2 (SCAN)

Data for a crystal of ZrI2F2 relaxed with PBEsol.

a b c (Å): 3.6377 3.6377 13.9885
angles (deg): 90.00 90.00 90.00
Space group I4/mmm (No. 139)
One atom of each set of equivalent atoms:
Zr  0.0000  0.0000  0.0000 [2 per cell]
I  0.0000  0.0000  0.3799 [4 per cell]
F  0.0000  0.5000  0.2500 [4 per cell]

Summary:
The value obtained for the total magnetization is 0.0 μB/cell. The uncorrected formation energy comes out at -18.465 kcal/mol of atoms.


No. 8
## In3IrF (SCAN)

Data for a crystal of In3IrF relaxed with PBEsol.

a b c (Å): 5.0677 5.0677 5.0677
angles (deg): 90.00 90.00 90.00
Space group Pm-3m (No. 221)
One atom of each set of equivalent atoms:
In  0.0000  0.0000  0.5000 [3 per cell]
Ir  0.0000  0.0000  0.0000 [1 per cell]
F  0.5000  0.5000  0.5000 [1 per cell]

Summary:
The value obtained for the total magnetization is 0.0 μB/cell. The uncorrected formation energy comes out at -15.865 kcal/mol of atoms.


No. 9
## InIrF3 (SCAN)

Data for a crystal of InIrF3 relaxed with PBEsol.

a b c (Å): 4.2249 4.2249 4.2249
angles (deg): 90.00 90.00 90.00
Space group Pm-3m (No. 221)
One atom of each set of equivalent atoms:
In  0.0000  0.0000  0.0000 [1 per cell]
Ir  0.5000  0.5000  0.5000 [1 per cell]
F  0.0000  0.0000  0.5000 [3 per cell]

Summary:
The value obtained for the total magnetization is 3.0 μB/cell. The uncorrected formation energy comes out at -16.157 kcal/mol of atoms.


No. 10
## KInIr2F (SCAN)

Data for a crystal of KInIr2F relaxed with PBEsol.

a b c (Å): 4.6147 4.6147 6.1570
angles (deg): 90.00 90.00 90.00
Space group P4/mmm (No. 123)
One atom of each set of equivalent atoms:
K  0.0000  0.0000  0.0000 [1 per cell]
In  0.0000  0.0000  0.5000 [1 per cell]
Ir  0.0000  0.5000  0.0000 [2 per cell]
F  0.5000  0.5000  0.5000 [1 per cell]

Summary:
The value obtained for the total magnetization is 2.5 μB/cell. The uncorrected formation energy comes out at 54.226 kcal/mol of atoms.


No. 11
## InSbIr2F (SCAN)

Data for a crystal of InSbIr2F relaxed with PBEsol.

a b c (Å): 4.8863 4.8863 4.0791
angles (deg): 90.00 90.00 90.00
Space group P4/mmm (No. 123)
One atom of each set of equivalent atoms:
In  0.0000  0.0000  0.0000 [1 per cell]
Sb  0.5000  0.5000  0.5000 [1 per cell]
Ir  0.0000  0.5000  0.5000 [2 per cell]
F  0.5000  0.5000  0.0000 [1 per cell]

Summary:
The value obtained for the total magnetization is 1.0 μB/cell. The uncorrected formation energy comes out at 5.379 kcal/mol of atoms.


No. 12
## ZnInIr2F (SCAN)

Data for a crystal of ZnInIr2F relaxed with PBEsol.

a b c (Å): 4.7266 4.7266 3.6744
angles (deg): 90.00 90.00 90.00
Space group P4/mmm (No. 123)
One atom of each set of equivalent atoms:
Zn  0.0000  0.0000  0.0000 [1 per cell]
In  0.5000  0.5000  0.5000 [1 per cell]
Ir  0.0000  0.5000  0.0000 [2 per cell]
F  0.0000  0.0000  0.5000 [1 per cell]

Summary:
The value obtained for the total magnetization is 0.0 μB/cell. The uncorrected formation energy comes out at 11.238 kcal/mol of atoms.